Entry 1:
Here is BaBiIrN2 after structural relaxation from Alexandria. Energies are from PBE.

Properties
M_tot = 2.802 Bohr magnetons per cell
electronic total energy = -4.4007 eV/atom

abc: 4.395 7.896 4.395
angles: 90.00 90.00 90.00
Site moments in Bohr magnetons follow the coordinates.
Positions (direct):
Ba 0.000 0.500 0.000  -0.02
N 0.500 0.000 0.000  0.61
N 0.000 0.000 0.500  0.46
Ir 0.500 0.500 0.500  1.25
Bi 0.000 0.000 0.000  -0.09

=====

Entry 2:
Here is ScFePS2 after structural relaxation from Alexandria. Energies are from PBE.

Properties
M_tot = 3.564 Bohr magnetons per cell
ΔE to the lowest computed polymorph = 0.5561 eV/atom

abc: 4.828 4.828 4.982
angles: 90.00 90.00 90.00
Site moments in Bohr magnetons follow the coordinates.
Positions (direct):
S 0.000 0.500 0.000  -0.01
S 0.500 0.000 0.000  -0.01
Fe 0.500 0.500 0.500  3.40
Sc 0.000 0.000 0.000  0.00
P 0.000 0.000 0.500  -0.01

=====

Entry 3:
Here is InPdN2 after structural relaxation from Alexandria. Energies are from PBE.

Properties
M_tot = 0.000 Bohr magnetons per cell
electronic total energy = -5.3043 eV/atom

abc: 6.557 6.557 6.557
angles: 28.23 28.23 28.23
Positions (direct):
Pd 0.500 0.500 0.500
In 0.000 0.000 0.000
N 0.114 0.114 0.114
N 0.886 0.886 0.886

=====

Entry 4:
Here is Na2TlNiW after structural relaxation from Alexandria. Energies are from PBE.

Properties
M_tot = 4.704 Bohr magnetons per cell
ΔE_f = 816 kJ/mol of formula units

abc: 5.461 4.837 5.461
angles: 90.00 90.00 90.00
Site moments in Bohr magnetons follow the coordinates.
Positions (direct):
W 0.500 0.500 0.500  3.29
Tl 0.000 0.000 0.000  -0.04
Na 0.000 0.000 0.500  0.00
Na 0.500 0.000 0.000  0.00
Ni 0.000 0.500 0.000  0.10

=====

Entry 5:
Here is Ca2GaCo2 after structural relaxation from Alexandria. Energies are from PBE.

Properties
M_tot = 2.097 Bohr magnetons per cell
ΔE_f = 113 kJ/mol of formula units

abc: 5.528 5.528 5.267
angles: 58.35 58.35 90.00
Site moments in Bohr magnetons follow the coordinates.
Positions (direct):
Ca 0.750 0.250 0.500  -0.05
Ca 0.250 0.750 0.500  -0.05
Ga 0.000 0.000 0.000  -0.04
Co 0.340 0.340 0.319  1.23
Co 0.660 0.660 0.681  1.23

=====

Entry 6:
Here is DyErPa2S4 after structural relaxation from Alexandria. Energies are from PBE.

Properties
M_tot = 0.000 Bohr magnetons per cell
electronic total energy = -7.3508 eV/atom

abc: 3.772 6.540 7.067
angles: 107.94 90.00 90.00
Positions (direct):
Pa 0.000 0.500 0.500
Pa 0.500 0.000 0.500
S 0.500 0.751 0.758
S 0.000 0.255 0.759
S 0.000 0.745 0.241
S 0.500 0.249 0.242
Dy 0.000 0.000 0.000
Er 0.500 0.500 0.000

=====

Entry 7:
Here is TiCdSn2 after structural relaxation from Alexandria. Energies are from PBE.

Properties
M_tot = 0.000 Bohr magnetons per cell
ΔE_f = -14 kJ/mol of formula units

abc: 3.258 3.258 10.334
angles: 80.93 80.93 60.00
Positions (direct):
Sn 0.094 0.094 0.719
Sn 0.906 0.906 0.281
Cd 0.000 0.000 0.000
Ti 0.500 0.500 0.500

=====

Entry 8:
Here is UGa2Bi after structural relaxation from Alexandria. Energies are from PBE.

Properties
M_tot = 2.403 Bohr magnetons per cell
ΔE_f = -37 kJ/mol of formula units
ΔE to the lowest computed polymorph = 0.0000 eV/atom

abc: 4.361 4.545 4.545
angles: 90.00 90.00 90.00
Site moments in Bohr magnetons follow the coordinates.
Positions (direct):
Ga 0.000 0.500 0.000  0.02
Ga 0.000 0.000 0.500  0.02
U 0.500 0.500 0.500  2.19
Bi 0.500 0.000 0.000  -0.04

=====

Entry 9:
Here is ZrAsPt2 after structural relaxation from Alexandria. Energies are from PBE.

Properties
M_tot = 0.000 Bohr magnetons per cell
ΔE_f = -228 kJ/mol of formula units

abc: 3.925 3.925 9.959
angles: 78.64 78.64 90.00
Positions (direct):
Pt 0.618 0.125 0.250
Pt 0.132 0.625 0.250
Pt 0.375 0.382 0.750
Pt 0.875 0.868 0.750
Zr 0.750 0.250 0.500
Zr 0.000 0.000 0.000
As 0.500 0.500 0.000
As 0.250 0.750 0.500

=====

Entry 10:
Here is Ti3IrPt2 after structural relaxation from Alexandria. Energies are from PBE.

Properties
M_tot = 0.199 Bohr magnetons per cell
ΔE_f = -514 kJ/mol of formula units

abc: 2.868 2.868 11.261
angles: 90.00 90.00 90.00
Site moments in Bohr magnetons follow the coordinates.
Positions (direct):
Pt 0.500 0.500 0.830  0.00
Pt 0.500 0.500 0.170  0.00
Ti 0.000 0.000 0.659  -0.12
Ti 0.000 0.000 0.341  -0.12
Ti 0.000 0.000 0.000  0.41
Ir 0.500 0.500 0.500  0.00

=====

Entry 11:
Here is V5Fe2 after structural relaxation from Alexandria. Energies are from PBE.

Properties
M_tot = 0.000 Bohr magnetons per cell
ΔE_f = -97 kJ/mol of formula units

abc: 2.901 4.853 6.496
angles: 97.80 90.00 107.39
Positions (direct):
V 0.216 0.432 0.644
V 0.784 0.568 0.356
V 0.640 0.280 0.929
V 0.360 0.720 0.071
V 0.500 0.000 0.500
Fe 0.071 0.142 0.213
Fe 0.929 0.858 0.787

=====

Entry 12:
Here is NaMgPtF6 after structural relaxation from Alexandria. Energies are from PBE.

Properties
M_tot = 2.000 Bohr magnetons per cell
electronic total energy = -4.5176 eV/atom

abc: 5.433 5.433 9.779
angles: 90.00 90.00 120.00
Site moments in Bohr magnetons follow the coordinates.
Positions (direct):
F 0.359 0.010 0.640  0.04
F 0.010 0.651 0.360  0.04
F 0.349 0.359 0.360  0.04
F 0.641 0.990 0.360  0.04
F 0.010 0.359 0.140  0.04
F 0.349 0.990 0.140  0.04
F 0.990 0.641 0.860  0.04
F 0.641 0.651 0.140  0.04
F 0.990 0.349 0.640  0.04
F 0.651 0.641 0.640  0.04
F 0.359 0.349 0.860  0.04
F 0.651 0.010 0.860  0.04
Na 0.000 0.000 0.000  0.00
Na 0.000 0.000 0.500  0.00
Mg 0.667 0.333 0.750  0.00
Mg 0.333 0.667 0.250  0.00
Pt 0.333 0.667 0.750  0.69
Pt 0.667 0.333 0.250  0.69

=====

Entry 13:
Here is Sm3Ni2Ir7 after structural relaxation from Alexandria. Energies are from PBE.

Properties
M_tot = 0.000 Bohr magnetons per cell
ΔE_f = -678 kJ/mol of formula units

abc: 5.329 5.329 9.063
angles: 72.90 72.90 60.00
Positions (direct):
Ir 0.500 0.500 0.500
Ir 0.420 0.922 0.238
Ir 0.922 0.420 0.238
Ir 0.078 0.580 0.762
Ir 0.420 0.420 0.238
Ir 0.580 0.078 0.762
Ir 0.580 0.580 0.762
Sm 0.140 0.140 0.579
Sm 0.000 0.000 0.000
Sm 0.860 0.860 0.421
Ni 0.333 0.333 0.000
Ni 0.667 0.667 0.000

=====

Entry 14:
Here is LiCe2Sb3 after structural relaxation from Alexandria. Energies are from PBE.

Properties
M_tot = 0.333 Bohr magnetons per cell
electronic total energy = -5.0854 eV/atom

abc: 4.502 6.215 7.644
angles: 113.99 107.13 90.00
Site moments in Bohr magnetons follow the coordinates.
Positions (direct):
Sb 0.672 0.672 0.344  -0.02
Sb 0.328 0.328 0.656  -0.02
Sb 0.000 0.000 0.000  -0.02
Ce 0.664 0.164 0.328  0.22
Ce 0.336 0.836 0.672  0.22
Li 0.000 0.500 0.000  0.00

=====

Entry 15:
Here is ZrPAu after structural relaxation from Alexandria. Energies are from PBE.

Properties
M_tot = 0.000 Bohr magnetons per cell
ΔE_f = -126 kJ/mol of formula units

abc: 4.344 4.344 4.344
angles: 60.00 60.00 60.00
Positions (direct):
Zr 0.000 0.000 0.000
Au 0.500 0.500 0.500
P 0.250 0.250 0.250

=====

Entry 16:
Here is PuUMnS4 after structural relaxation from Alexandria. Energies are from PBE.

Properties
M_tot = 0.649 Bohr magnetons per cell
electronic total energy = -8.5340 eV/atom

abc: 6.395 5.909 7.598
angles: 90.00 107.24 90.00
Site moments in Bohr magnetons follow the coordinates.
Positions (direct):
U 0.770 0.750 0.443  -1.87
U 0.230 0.250 0.557  -1.87
S 0.431 0.750 0.602  -0.03
S 0.569 0.250 0.398  -0.03
S 0.560 0.250 0.885  -0.06
S 0.982 0.489 0.249  0.00
S 0.440 0.750 0.115  -0.06
S 0.982 0.011 0.249  0.00
S 0.018 0.989 0.751  0.00
S 0.018 0.511 0.751  0.00
Pu 0.250 0.250 0.065  5.13
Pu 0.750 0.750 0.935  5.13
Mn 0.758 0.250 0.691  -2.64
Mn 0.242 0.750 0.309  -2.64

=====

Entry 17:
Here is La2AlRu after structural relaxation from Alexandria. Energies are from PBE.

Properties
M_tot = 0.000 Bohr magnetons per cell
ΔE_f = -62 kJ/mol of formula units

abc: 5.011 5.011 5.011
angles: 60.00 60.00 60.00
Positions (direct):
Al 0.500 0.500 0.500
La 0.000 0.000 0.000
La 0.250 0.250 0.250
Ru 0.750 0.750 0.750

=====

Entry 18:
Here is SrV2Zn after structural relaxation from Alexandria. Energies are from PBE.

Properties
M_tot = 0.000 Bohr magnetons per cell
ΔE_f = 298 kJ/mol of formula units

abc: 4.327 4.327 10.409
angles: 78.00 78.00 90.00
Positions (direct):
Zn 0.250 0.750 0.500
Zn 0.500 0.500 0.000
V 0.875 0.609 0.750
V 0.359 0.125 0.250
V 0.391 0.625 0.250
V 0.375 0.641 0.750
Sr 0.000 0.000 0.000
Sr 0.750 0.250 0.500

=====

Entry 19:
Here is YHg2Cl after structural relaxation from Alexandria. Energies are from PBE.

Properties
M_tot = 0.000 Bohr magnetons per cell
ΔE to the lowest computed polymorph = 0.0000 eV/atom

abc: 4.437 3.879 6.559
angles: 72.80 90.00 90.00
Positions (direct):
Y 0.000 0.687 0.502
Hg 0.500 0.303 0.269
Hg 0.000 0.940 0.995
Cl 0.500 0.570 0.734

=====

Entry 20:
Here is Pr3Nd6Er2 after structural relaxation from Alexandria. Energies are from PBE.

Properties
M_tot = 0.000 Bohr magnetons per cell
ΔE_f = 106 kJ/mol of formula units
ΔE to the lowest computed polymorph = 0.0000 eV/atom

abc: 5.808 5.808 13.552
angles: 77.63 77.63 60.00
Positions (direct):
Er 0.540 0.540 0.379
Er 0.460 0.460 0.621
Nd 0.624 0.624 0.127
Nd 0.908 0.908 0.275
Nd 0.187 0.187 0.440
Nd 0.813 0.813 0.560
Nd 0.092 0.092 0.725
Nd 0.376 0.376 0.873
Pr 0.717 0.717 0.849
Pr 0.000 0.000 0.000
Pr 0.283 0.283 0.151

=====

Entry 21:
Here is LiSn2Ir after structural relaxation from Alexandria. Energies are from PBE.

Properties
M_tot = 0.000 Bohr magnetons per cell
ΔE_f = -117 kJ/mol of formula units

abc: 4.360 4.360 5.694
angles: 67.49 67.49 60.00
Positions (direct):
Li 0.491 0.491 0.526
Sn 0.068 0.068 0.796
Sn 0.268 0.268 0.196
Ir 0.673 0.673 0.982

=====

Entry 22:
Here is InAgPb2I after structural relaxation from Alexandria. Energies are from PBE.

Properties
M_tot = 0.000 Bohr magnetons per cell
electronic total energy = -2.6062 eV/atom

abc: 5.488 6.159 5.488
angles: 90.00 90.00 90.00
Positions (direct):
In 0.500 0.500 0.500
Pb 0.500 0.000 0.000
Pb 0.000 0.000 0.500
Ag 0.000 0.000 0.000
I 0.000 0.500 0.000